Below is a relaxed Ta2FeBr crystal, with properties calculated at the GGA-PBE level.

Values from the calculation:
The polymorph energy (0 for the lowest one) is 0.013 eV per atom. The total magnetization comes out at 0.00 μB per formula unit. As for the volume: 241 Å³ per cell. The crystal system is trigonal.

Cell and atoms, written as CIF:
```
data_Ta2FeBr
_cell_length_a 3.7299
_cell_length_b 3.7299
_cell_length_c 19.9802
_cell_angle_alpha 90.00
_cell_angle_beta 90.00
_cell_angle_gamma 120.00
_space_group_name_H-M_alt 'R -3 m'
_space_group_IT_number 166
_space_group_name_Hall '-R 3 2"'
loop_
_atom_site_label
_atom_site_fract_x
_atom_site_fract_y
_atom_site_fract_z
Ta1 0.0000 0.0000 0.2189
Fe1 0.0000 0.0000 0.5000
Br1 0.0000 0.0000 0.0000
```